SiTcAg3: optimized geometry, GGA-PBE.

energy above the most stable polymorph in this dataset	0.6734	eV per atom
total magnetization	0.54	μB/atom
E_form (uncorrected)	1.715	eV/atom
density of states at the Fermi level	4.62	states/eV/cell
calculated total energy	-3.154	eV per atom

Unit cell a=5.078 b=5.078 c=5.078 alpha=90.00 beta=90.00 gamma=90.00
Space group Pm-3m (No. 221)
Asymmetric unit:
Si 0.000 0.000 0.000 [1 per cell]
Tc 0.500 0.500 0.500 [1 per cell]
Ag 0.000 0.500 0.500 [3 per cell]


NdGdIrPd: optimized geometry, GGA-PBE.

total magnetization	1.78	μB/atom
density of states at the Fermi level	11.75	states/eV/cell
formation energy	-0.75	eV per atom
calculated total energy	-8.981	eV per atom

Unit cell a=7.079 b=7.079 c=7.079 alpha=90.00 beta=90.00 gamma=90.00
Space group F-43m (No. 216)
Asymmetric unit:
Nd 0.000 0.000 0.000 [4 per cell]
Gd 0.000 0.000 0.500 [4 per cell]
Ir 0.250 0.250 0.750 [4 per cell]
Pd 0.250 0.250 0.250 [4 per cell]


Dy3Al9Fe2: optimized geometry, GGA-PBE.

total magnetization	0.12	μB/atom
density of states at the Fermi level	14.98	states/eV/cell
formation energy	-0.41	eV per atom
calculated total energy	-5.015	eV per atom

Unit cell a=4.293 b=9.596 c=12.225 alpha=90.00 beta=90.00 gamma=90.00
Space group Immm (No. 71)
Asymmetric unit:
Dy 0.000 0.000 0.000 [2 per cell]
Dy 0.000 0.000 0.302 [4 per cell]
Al 0.000 0.283 0.124 [8 per cell]
Al 0.000 0.359 0.351 [8 per cell]
Al 0.000 0.500 0.000 [2 per cell]
Fe 0.000 0.176 0.500 [4 per cell]